(1)
## PW2Br (PBE)

Data for a relaxed PW2Br crystal.

Values from the calculation:
- Fermi-level density of states: 0.92 states/eV/atom
- Uncorrected formation energy: 1.2436 eV per atom
- Energy above the most stable polymorph in this dataset: 1144 meV per atom
- Final energy: -7.004 eV/atom

Cell: 4.5598 4.5598 4.5598 Å, 60.00 60.00 60.00°
Element x y z (fractional)
P  0.7500  0.7500  0.7500
W  0.2500  0.2500  0.2500
Br  0.5000  0.5000  0.5000
W  0.0000  0.0000  0.0000

(2)
## YPBr (PBE)

Data for a relaxed YPBr crystal.

Values from the calculation:
- Fermi-level density of states: 0.69 states/eV/atom
- Uncorrected formation energy: -0.8905 eV per atom
- Energy above the most stable polymorph in this dataset: 497 meV per atom
- Final energy: -5.406 eV/atom

Cell: 3.9352 3.9352 6.9788 Å, 90.00 90.00 120.00°
Each line ends with the local moment (μB).
Element x y z (fractional)
Y  0.3333  0.6667  0.6541  0.13
P  0.6667  0.3333  0.4262  0.36
Br  0.0000  0.0000  0.9196  0.03

(3)
## YPBr (PBE)

Data for a relaxed YPBr crystal.

Values from the calculation:
- Fermi-level density of states: 0.86 states/eV/atom
- Uncorrected formation energy: -0.6671 eV per atom
- Energy above the most stable polymorph in this dataset: 720 meV per atom
- Final energy: -5.183 eV/atom

Cell: 4.8230 4.8230 3.4833 Å, 90.00 90.00 120.00°
Element x y z (fractional)
Br  0.0000  0.0000  0.8331
P  0.6667  0.3333  0.3335
Y  0.3333  0.6667  0.8334

(4)
## Y2P2Br (PBE)

Data for a relaxed Y2P2Br crystal.

Values from the calculation:
- Fermi-level density of states: 0.41 states/eV/atom
- Uncorrected formation energy: -0.8611 eV per atom
- Energy above the most stable polymorph in this dataset: 422 meV per atom
- Final energy: -5.945 eV/atom

Cell: 7.7863 7.7863 7.7863 Å, 148.72 148.72 44.82°
Each line ends with the local moment (μB).
Element x y z (fractional)
Y  0.6288  0.6288  0.0000  0.11
Y  0.3712  0.3712  0.0000  0.11
P  0.2500  0.7500  0.5000  -0.01
P  0.7500  0.2500  0.5000  -0.01
Br  0.0000  0.0000  0.0000  0.00

(5)
## Y6P5Br (PBE)

Data for a relaxed Y6P5Br crystal.

Values from the calculation:
- Fermi-level density of states: 0.21 states/eV/atom
- Uncorrected formation energy: -1.6194 eV per atom
- Final energy: -7.245 eV/atom

Cell: 6.9774 7.0073 6.9926 Å, 59.93 80.36 70.48°
Element x y z (fractional)
Y  0.2613  0.5578  0.3546
P  0.5000  0.1602  0.6796
P  0.0000  0.3324  0.3351
Y  0.7387  0.4422  0.6454
Y  0.2613  0.9124  0.6454
Y  0.2605  0.2671  0.0000
P  0.0000  0.6676  0.6649
Y  0.7387  0.0876  0.3546
Y  0.7395  0.7329  0.0000
Br  0.0000  0.0000  0.0000
P  0.5000  0.8398  0.3204
P  0.5000  0.5000  0.0000

(6)
## YPBr (PBE)

Data for a relaxed YPBr crystal.

Values from the calculation:
- Fermi-level density of states: 0.04 states/eV/atom
- Uncorrected formation energy: -1.3876 eV per atom
- Energy above the most stable polymorph in this dataset: 0 meV per atom
- Final energy: -5.903 eV/atom

Cell: 3.8664 5.8291 7.7086 Å, 67.73 75.39 89.78°
Element x y z (fractional)
P  0.9800  0.3062  0.9999
P  0.0200  0.6938  0.0001
Y  0.6266  0.6267  0.7467
Br  0.7095  0.2094  0.5813
Y  0.3734  0.3733  0.2533
Br  0.2905  0.7906  0.4187

(7)
## YPBr3 (PBE)

Data for a relaxed YPBr3 crystal.

Values from the calculation:
- Fermi-level density of states: 1.14 states/eV/atom
- Uncorrected formation energy: -0.0001 eV per atom
- Energy above the most stable polymorph in this dataset: 711 meV per atom
- Final energy: -3.379 eV/atom

Cell: 5.2142 5.2142 5.2142 Å, 90.00 90.00 90.00°
Each line ends with the local moment (μB).
Element x y z (fractional)
Y  0.5000  0.5000  0.5000  0.66
P  0.0000  0.0000  0.0000  0.00
Br  0.0000  0.0000  0.5000  0.00
Br  0.5000  0.0000  0.0000  0.00
Br  0.0000  0.5000  0.0000  -0.01

(8)
## YPBr (PBE)

Data for a relaxed YPBr crystal.

Values from the calculation:
- Fermi-level density of states: 1.64 states/eV/atom
- Uncorrected formation energy: -0.4127 eV per atom
- Energy above the most stable polymorph in this dataset: 975 meV per atom
- Final energy: -4.928 eV/atom

Cell: 4.8017 4.8017 4.8017 Å, 60.00 60.00 60.00°
Element x y z (fractional)
P  0.2500  0.2500  0.2500
Y  0.0000  0.0000  0.0000
Br  0.5000  0.5000  0.5000

(9)
## YP4Br (PBE)

Data for a relaxed YP4Br crystal.

Values from the calculation:
- Fermi-level density of states: 0.31 states/eV/atom
- Uncorrected formation energy: -0.1322 eV per atom
- Final energy: -5.095 eV/atom

Cell: 5.4598 5.4598 5.4598 Å, 60.00 60.00 60.00°
Element x y z (fractional)
P  0.3585  0.3585  0.9245
Br  0.0000  0.0000  0.0000
P  0.9245  0.3585  0.3585
P  0.3585  0.9245  0.3585
P  0.3585  0.3585  0.3585
Y  0.7500  0.7500  0.7500

(10)
## Y2P2Br (PBE)

Data for a relaxed Y2P2Br crystal.

Values from the calculation:
- Fermi-level density of states: 0.61 states/eV/atom
- Uncorrected formation energy: -1.2828 eV per atom
- Energy above the most stable polymorph in this dataset: 0 meV per atom
- Final energy: -6.367 eV/atom

Cell: 7.6866 7.6866 3.8046 Å, 90.00 90.00 90.00°
Element x y z (fractional)
Y  0.3294  0.8294  0.0000
P  0.1099  0.6099  0.5000
P  0.6099  0.8901  0.5000
Y  0.8294  0.6706  0.0000
P  0.3901  0.1099  0.5000
Br  0.5000  0.5000  0.0000
Br  0.0000  0.0000  0.0000
Y  0.6706  0.1706  0.0000
Y  0.1706  0.3294  0.0000
P  0.8901  0.3901  0.5000

(11)
## YPBr (PBE)

Data for a relaxed YPBr crystal.

Values from the calculation:
- Fermi-level density of states: 1.50 states/eV/atom
- Uncorrected formation energy: -0.8108 eV per atom
- Energy above the most stable polymorph in this dataset: 577 meV per atom
- Final energy: -5.326 eV/atom

Cell: 4.8282 4.8282 4.8282 Å, 60.00 60.00 60.00°
Element x y z (fractional)
Y  0.2500  0.2500  0.2500
P  0.5000  0.5000  0.5000
Br  0.0000  0.0000  0.0000

(12)
## Y4PBr5 (PBE)

Data for a relaxed Y4PBr5 crystal.

Values from the calculation:
- Fermi-level density of states: 0.30 states/eV/atom
- Uncorrected formation energy: -1.6263 eV per atom
- Final energy: -5.589 eV/atom

Cell: 3.9998 8.2832 9.2339 Å, 102.59 102.51 90.00°
Element x y z (fractional)
Br  0.1725  0.8353  0.3449
Br  0.5000  0.5000  0.0000
P  0.5000  0.0000  0.0000
Y  0.3515  0.9215  0.7031
Y  0.6485  0.0785  0.2969
Br  0.8339  0.6649  0.6678
Y  0.9999  0.2163  0.9998
Br  0.1661  0.3351  0.3322
Y  0.0001  0.7837  0.0002
Br  0.8275  0.1647  0.6551